Below is an optimized crystal structure of AcMg6Ag4, with properties calculated at the PBE level.

The structure in extended XYZ format:
```
11
Lattice="-0.960 -2.157 3.793 -3.582 -5.793 -4.201 7.806 -0.519 1.680" Properties=species:S:1:pos:R:3 pbc="T T T"
Ac 0.000 0.000 0.000
Mg -1.390 -3.124 -2.129
Mg 3.613 -4.915 0.750
Mg 1.733 -3.331 -1.456
Mg 0.300 -5.648 -3.137
Mg 4.998 -2.675 2.374
Mg 1.980 -2.475 1.725
Ag 1.310 -6.007 -0.454
Ag -0.350 -3.529 0.536
Ag -1.757 -5.804 -1.114
Ag 4.010 -2.277 -0.280
```

Below is an optimized crystal structure of Ac4MgAg, with properties calculated at the PBE level.

The structure in extended XYZ format:
```
6
Lattice="-3.486 -2.823 3.274 4.183 -3.268 1.637 1.590 5.068 6.067" Properties=species:S:1:pos:R:3 pbc="T T T"
Ac 2.836 -3.356 4.850
Ac 3.596 -0.944 7.743
Ac 3.247 2.102 5.287
Ac 2.488 -0.309 2.395
Mg 1.920 2.018 8.511
Ag 4.959 -0.737 4.660
```

Below is an optimized crystal structure of Ac2Mg5Ag12, with properties calculated at the PBE level.

The structure in extended XYZ format:
```
19
Lattice="-1.471 2.102 -6.995 5.891 -3.180 -3.269 -3.353 -6.261 -2.251" Properties=species:S:1:pos:R:3 pbc="T T T"
Ac 0.688 -4.731 -8.067
Ac 0.379 -2.609 -4.449
Mg -1.677 -3.131 -1.126
Mg 2.946 -1.590 -1.635
Mg -0.735 1.051 -3.498
Mg 0.961 -6.606 -11.265
Mg 0.107 -0.733 -1.251
Ag 3.704 -1.611 -4.377
Ag -2.030 -0.383 -5.585
Ag -0.606 -5.346 -2.554
Ag 0.717 0.532 -5.888
Ag -2.794 -3.776 -3.661
Ag 3.144 -4.096 -2.967
Ag -1.344 -5.728 -5.465
Ag 3.377 -4.155 -5.985
Ag -0.383 -1.457 -7.888
Ag -2.309 -3.185 -6.531
Ag 2.412 -1.611 -7.051
Ag 1.451 -5.882 -4.628
```

Below is an optimized crystal structure of Ac2Mg5Ag3, with properties calculated at the PBE level.

The structure in extended XYZ format:
```
20
Lattice="-1.058 -4.586 1.057 2.998 -2.233 -6.686 12.966 0.823 5.539" Properties=species:S:1:pos:R:3 pbc="T T T"
Ac 14.223 -3.125 0.674
Ac 6.546 -2.125 -2.667
Ac 8.176 -3.733 2.989
Ac 0.796 -2.955 -1.016
Mg 11.140 -2.085 2.099
Mg 8.777 -2.014 0.045
Mg 4.750 -2.954 2.942
Mg 3.955 -0.910 0.011
Mg 10.010 -2.883 -2.489
Mg 10.768 -3.801 5.289
Mg 5.824 -3.804 0.331
Mg 10.864 -5.021 0.094
Mg 3.192 -1.490 -3.268
Mg 4.722 -4.622 -4.320
Ag 8.243 -4.664 -0.977
Ag 3.811 -3.799 -1.661
Ag 4.153 -2.326 -5.931
Ag 6.423 -1.154 1.422
Ag 12.112 -4.682 2.813
Ag 9.768 -1.208 4.532
```

Properties
As for the energy above the most stable polymorph in this dataset: 0.000 eV/atom.

Below is an optimized crystal structure of Ac2MgAg3, with properties calculated at the PBE level.

The structure in extended XYZ format:
```
6
Lattice="-1.784 3.497 -1.979 -4.005 -1.254 1.394 3.994 3.667 7.762" Properties=species:S:1:pos:R:3 pbc="T T T"
Ac 0.286 1.247 1.945
Ac -0.096 5.216 4.420
Mg -0.993 3.770 7.557
Ag -2.447 3.069 2.746
Ag -2.794 1.557 0.387
Ag -1.344 2.241 5.170
```

Properties
As for the energy above the most stable polymorph in this dataset: 0.000 eV/atom.

Below is an optimized crystal structure of AcMg6Ag6, with properties calculated at the PBE level.

The structure in extended XYZ format:
```
13
Lattice="-3.969 1.475 -3.765 -6.814 -2.658 1.878 -3.455 6.440 1.900" Properties=species:S:1:pos:R:3 pbc="T T T"
Ac 0.000 0.000 0.000
Mg -8.058 2.972 1.132
Mg -6.179 2.284 -1.119
Mg -4.620 3.283 1.892
Mg -5.648 0.499 1.886
Mg -3.276 1.210 -0.337
Mg -10.962 4.046 0.349
Ag -3.407 -1.329 0.939
Ag -5.391 -0.592 -0.944
Ag -1.727 3.220 0.950
Ag -3.712 3.957 -0.933
Ag -8.051 0.102 0.000
Ag -6.186 5.154 0.013
```

Below is an optimized crystal structure of AcMg5Ag2, with properties calculated at the PBE level.

The structure in extended XYZ format:
```
8
Lattice="-4.456 0.041 -0.223 -1.937 -2.465 -6.387 -2.333 -6.678 0.759" Properties=species:S:1:pos:R:3 pbc="T T T"
Ac 0.000 0.000 0.000
Mg -2.135 -4.572 -2.814
Mg -4.318 -2.351 -3.431
Mg -4.409 -6.751 -2.420
Mg -4.260 -5.175 -5.093
Mg -4.466 -3.927 -0.758
Ag -6.544 -6.883 -4.421
Ag -2.183 -2.219 -1.430
```

Below is an optimized crystal structure of Ac2Mg2Ag3, with properties calculated at the PBE level.

The structure in extended XYZ format:
```
7
Lattice="4.591 0.000 0.000 -2.296 6.103 -0.211 0.000 -3.459 6.816" Properties=species:S:1:pos:R:3 pbc="T T T"
Ac 2.296 3.512 1.408
Ac 0.000 -0.868 5.197
Mg 2.296 1.755 4.891
Mg 0.000 0.889 1.714
Ag 2.296 0.000 0.000
Ag 2.296 -0.353 2.843
Ag 0.000 2.998 3.762
```

Properties
As for the energy above the most stable polymorph in this dataset: 0.000 eV/atom.

Below is an optimized crystal structure of Ac2Mg5Ag3, with properties calculated at the PBE level.

The structure in extended XYZ format:
```
10
Lattice="-4.120 -1.404 1.373 0.480 -3.814 -2.461 5.344 -5.829 10.074" Properties=species:S:1:pos:R:3 pbc="T T T"
Ac -0.606 -2.288 3.428
Ac 4.129 -6.150 6.102
Mg -1.820 -2.609 -0.544
Mg 0.000 0.000 0.000
Mg 2.472 -5.646 9.231
Mg 1.051 -2.792 0.299
Mg 0.852 -5.524 4.493
Ag 1.331 -4.401 7.079
Ag 2.193 -4.037 2.451
Ag 2.672 -2.915 5.037
```

Properties
As for the energy above the most stable polymorph in this dataset: 0.060 eV/atom.

Below is an optimized crystal structure of AcMg2Ag2, with properties calculated at the PBE level.

The structure in extended XYZ format:
```
5
Lattice="4.469 0.000 0.000 0.000 4.469 0.000 -2.235 -2.235 6.364" Properties=species:S:1:pos:R:3 pbc="T T T"
Ac 0.000 0.000 0.000
Mg 2.235 0.000 3.182
Mg 0.000 2.235 3.182
Ag 2.235 2.235 1.426
Ag 0.000 0.000 4.938
```

Below is an optimized crystal structure of AcMg2Ag6, with properties calculated at the PBE level.

The structure in extended XYZ format:
```
9
Lattice="-0.250 0.001 -3.690 -0.111 -8.004 -1.848 -7.009 -4.058 -1.381" Properties=species:S:1:pos:R:3 pbc="T T T"
Ac 0.000 0.000 0.000
Mg -4.758 -7.694 -5.241
Mg -2.612 -4.367 -1.678
Ag -4.618 -2.584 -3.395
Ag -2.752 -9.477 -3.524
Ag -7.121 -6.977 -3.227
Ag -2.525 -6.694 -3.538
Ag -4.845 -5.367 -3.381
Ag -0.249 -5.084 -3.692
```

Below is an optimized crystal structure of Ac2Mg12Ag7, with properties calculated at the PBE level.

The structure in extended XYZ format:
```
21
Lattice="4.439 0.000 0.000 0.000 9.719 -5.611 0.000 0.000 11.222" Properties=species:S:1:pos:R:3 pbc="T T T"
Ac 2.219 0.000 0.000
Ac 0.000 6.479 0.000
Mg 2.219 8.846 1.876
Mg 2.219 6.921 -2.988
Mg 2.219 3.671 1.112
Mg 2.219 2.321 7.528
Mg 2.219 5.359 5.448
Mg 2.219 2.039 3.857
Mg 0.000 0.516 5.765
Mg 0.000 4.734 7.893
Mg 0.000 4.468 3.175
Mg 0.000 7.511 3.697
Mg 0.000 9.165 -2.742
Mg 0.000 2.761 -0.955
Ag 0.000 3.240 5.611
Ag 0.000 0.559 8.580
Ag 0.000 7.151 6.448
Ag 0.000 2.009 1.805
Ag 2.219 6.120 2.614
Ag 2.219 8.922 -0.996
Ag 2.219 4.395 -1.617
```

Below is an optimized crystal structure of Ac3MgAg4, with properties calculated at the PBE level.

The structure in extended XYZ format:
```
8
Lattice="-1.569 3.175 -2.603 -5.111 1.389 4.774 8.166 3.064 2.527" Properties=species:S:1:pos:R:3 pbc="T T T"
Ac 1.887 2.090 1.412
Ac -0.400 5.538 3.285
Ac -2.555 0.694 2.387
Mg -0.784 1.587 -1.302
Ag 2.617 4.335 3.711
Ag -1.130 3.293 0.986
Ag -3.213 3.859 2.932
Ag 4.700 3.769 1.765
```

Number 1: E_tot -2.497 eV per atom, E_form -0.217 eV/atom, total moment 0.000 μB per atom. Number 2: E_tot -3.320 eV per atom, E_form 0.160 eV/atom, total moment 0.000 μB per atom. Number 3: E_tot -2.848 eV per atom, E_form -0.196 eV/atom, total moment 0.000 μB per atom. Number 4: E_tot -2.665 eV per atom, E_form -0.190 eV/atom, total moment 0.000 μB per atom. Number 5: E_tot -3.286 eV per atom, E_form -0.225 eV/atom, total moment 0.000 μB per atom. Number 6: E_tot -2.558 eV per atom, E_form -0.190 eV/atom, total moment 0.000 μB per atom. Number 7: E_tot -2.414 eV per atom, E_form -0.191 eV/atom, total moment 0.000 μB per atom. Number 8: E_tot -3.047 eV per atom, E_form -0.196 eV/atom, total moment 0.000 μB per atom. Number 9: E_tot -2.605 eV per atom, E_form -0.131 eV/atom, total moment 0.000 μB per atom. Number 10: E_tot -2.856 eV per atom, E_form -0.256 eV/atom, total moment 0.000 μB per atom. Number 11: E_tot -2.806 eV per atom, E_form -0.095 eV/atom, total moment 0.000 μB per atom. Number 12: E_tot -2.462 eV per atom, E_form -0.209 eV/atom, total moment 0.000 μB per atom. Number 13: E_tot -3.312 eV per atom, E_form -0.146 eV/atom, total moment 0.000 μB per atom.